(1)
Crystalline Pr4In2GaHg at its relaxed geometry. Source: Alexandria via LeMat-Bulk, functional PBE.

The structure in POSCAR format:
```
Pr4In2GaHg
1.0
2.733 1.578 8.893
-2.733 1.578 8.893
0.000 -3.156 8.893
Pr In Ga Hg
4 2 1 1
Cartesian
0.000 0.000 3.245
0.000 0.000 9.929
0.000 0.000 16.748
0.000 0.000 23.433
0.000 0.000 6.589
0.000 0.000 20.089
0.000 0.000 0.000
0.000 0.000 13.339
```

Results
Total DFT energy (no corrections) = -31.8 eV per cell
DOS(E_F) = 1.156 states/eV/atom
Size of the total moment = 0.00 μB/cell

=====

(2)
Crystalline In2GaHgPt at its relaxed geometry. Source: Alexandria via LeMat-Bulk, functional PBE.

The structure in POSCAR format:
```
In2GaHgPt
1.0
5.256 0.000 0.000
0.000 5.256 0.000
0.000 0.000 4.846
In Ga Hg Pt
2 1 1 1
Cartesian
0.000 2.628 0.000
2.628 0.000 0.000
0.000 0.000 2.423
2.628 2.628 2.423
0.000 0.000 0.000
```

Results
Total DFT energy (no corrections) = -15.9 eV per cell
DOS(E_F) = 0.447 states/eV/atom
Size of the total moment = 0.00 μB/cell

=====

(3)
Crystalline InGaHgPt2 at its relaxed geometry. Source: Alexandria via LeMat-Bulk, functional PBE.

The structure in POSCAR format:
```
InGaHgPt2
1.0
5.166 0.000 0.000
0.000 5.166 0.000
0.000 0.000 4.819
In Ga Hg Pt
1 1 1 2
Cartesian
0.000 0.000 0.000
2.583 2.583 0.000
2.583 2.583 2.409
0.000 2.583 2.409
2.583 0.000 2.409
```

Results
Total DFT energy (no corrections) = -14.3 eV per cell
DOS(E_F) = 0.611 states/eV/atom
Size of the total moment = 0.00 μB/cell

=====

(4)
Crystalline RbInGaHg2 at its relaxed geometry. Source: Alexandria via LeMat-Bulk, functional PBE.

The structure in POSCAR format:
```
RbInGaHg2
1.0
5.435 0.000 0.000
0.000 5.435 0.000
0.000 0.000 5.757
Rb In Ga Hg
1 1 1 2
Cartesian
0.000 0.000 0.000
2.717 2.717 0.000
2.717 2.717 2.878
0.000 2.717 2.878
2.717 0.000 2.878
```

Results
Energy above the lowest structure with this stoichiometry = 0.0000 eV/atom
Total DFT energy (no corrections) = -7.4 eV per cell
DOS(E_F) = 0.375 states/eV/atom
Size of the total moment = 0.00 μB/cell

=====

(5)
Crystalline Rb2In6GaHg at its relaxed geometry. Source: Alexandria via LeMat-Bulk, functional PBE.

The structure in POSCAR format:
```
Rb2In6GaHg
1.0
3.744 2.161 14.152
-3.744 2.161 14.152
0.000 -4.323 14.152
Rb In Ga Hg
4 12 2 2
Cartesian
0.000 0.000 6.070
0.000 0.000 13.249
0.000 0.000 29.208
0.000 0.000 36.387
-2.042 -1.179 18.992
0.000 -2.603 16.666
-2.255 1.302 16.666
-2.255 -1.302 25.791
0.000 -2.358 23.465
-2.042 1.179 23.465
2.042 -1.179 18.992
0.000 2.358 18.992
2.255 1.302 16.666
2.255 -1.302 25.791
0.000 2.603 25.791
2.042 1.179 23.465
0.000 0.000 17.209
0.000 0.000 25.248
0.000 0.000 0.000
0.000 0.000 21.228
```

Results
Total DFT energy (no corrections) = -43.6 eV per cell
DOS(E_F) = 0.359 states/eV/atom
Size of the total moment = 0.00 μB/cell

=====

(6)
Crystalline Rb2In4GaHg3 at its relaxed geometry. Source: Alexandria via LeMat-Bulk, functional PBE.

The structure in POSCAR format:
```
Rb2In4GaHg3
1.0
5.002 0.000 0.000
0.000 5.002 0.000
0.000 0.000 12.599
Rb In Ga Hg
2 4 1 3
Cartesian
0.000 2.501 3.078
2.501 0.000 9.521
0.000 0.000 6.299
0.000 2.501 11.039
2.501 0.000 1.559
2.501 2.501 6.299
2.501 2.501 0.000
0.000 0.000 0.000
0.000 2.501 8.079
2.501 0.000 4.520
```

Results
Total DFT energy (no corrections) = -18.0 eV per cell
DOS(E_F) = 0.591 states/eV/atom
Size of the total moment = 0.00 μB/cell

=====

(7)
Crystalline RbIn2GaHg at its relaxed geometry. Source: Alexandria via LeMat-Bulk, functional PBE.

The structure in POSCAR format:
```
RbIn2GaHg
1.0
5.704 0.000 0.000
0.000 5.704 0.000
0.000 0.000 5.361
Rb In Ga Hg
1 2 1 1
Cartesian
0.000 0.000 0.000
0.000 2.852 2.680
2.852 0.000 2.680
2.852 2.852 2.680
2.852 2.852 0.000
```

Results
Total DFT energy (no corrections) = -9.5 eV per cell
DOS(E_F) = 0.574 states/eV/atom
Size of the total moment = 0.00 μB/cell

=====

(8)
Crystalline Rb2InGaHg6 at its relaxed geometry. Source: Alexandria via LeMat-Bulk, functional PBE.

The structure in POSCAR format:
```
Rb2InGaHg6
1.0
7.084 0.000 0.000
3.533 6.844 0.000
3.499 1.461 7.191
Rb In Ga Hg
2 1 1 6
Cartesian
3.542 2.403 1.408
10.574 5.901 5.783
0.000 0.000 0.000
7.058 4.152 3.596
6.999 6.792 4.604
5.438 5.660 1.901
5.359 2.602 5.189
8.757 5.703 2.002
8.678 2.645 5.290
7.117 1.512 2.587
```

Results
Total DFT energy (no corrections) = -10.8 eV per cell
DOS(E_F) = 0.325 states/eV/atom
Size of the total moment = 0.00 μB/cell